# 1
The following is a SCAN calculation of Be2CrP at its PBEsol-relaxed geometry, from Alexandria.

Cell lengths 3.227, 3.227, 4.241 Å; angles 112.36, 112.36, 90.00 degrees
Site moments in Bohr magnetons follow the coordinates.
Fractional positions:
Cr (0.000, 0.000, 0.000)  0.98
P (0.250, 0.750, 0.500)  -0.02
Be (0.500, 0.500, 0.000)  -0.02
Be (0.750, 0.250, 0.500)  -0.01

Results
- ΔE_f (meV per atom) = -223
- space-group type = I-4m2
- raw total energy (eV per atom) = -9.60
- density (g/cm3) = 4.50


# 2
The following is a SCAN calculation of Be2CrP at its PBEsol-relaxed geometry, from Alexandria.

Cell lengths 3.401, 3.309, 3.401 Å; angles 90.00, 90.00, 90.00 degrees
Site moments in Bohr magnetons follow the coordinates.
Fractional positions:
Cr (0.000, 0.500, 0.500)  2.35
Be (0.000, 0.000, 0.000)  -0.04
Be (0.500, 0.000, 0.500)  -0.04
P (0.500, 0.500, 0.000)  0.00

Results
- ΔE_f (meV per atom) = -150
- space-group type = P4/mmm
- raw total energy (eV per atom) = -9.52
- density (g/cm3) = 4.38